# Sc3PPd

Crystalline Sc3PPd at its relaxed geometry (PBE, Alexandria).

```
data_Sc3PPd
_chemical_formula_sum 'Sc3 P1 Pd1'
_symmetry_space_group_name_H-M 'P m -3 m'
_symmetry_Int_Tables_number 221
_symmetry_space_group_name_Hall '-P 4 2 3'
_cell_length_a 4.8403
_cell_length_b 4.8403
_cell_length_c 4.8403
_cell_angle_alpha 90.00
_cell_angle_beta 90.00
_cell_angle_gamma 90.00
loop_
_atom_site_label
_atom_site_fract_x
_atom_site_fract_y
_atom_site_fract_z
Sc1 0.0000 0.0000 0.5000
P1 0.0000 0.0000 0.0000
Pd1 0.5000 0.5000 0.5000
```

Results
ΔE_f: -0.472 eV per atom
theoretical density: 4.0 g cm⁻³
spin magnetization: 1.7 μB per formula unit
calculated total energy: -6.391 eV/atom
DOS(E_F): 1.18 states/eV/atom
energy above the most stable polymorph in this dataset: 0 meV per atom

# ScSn2P2Pd7

Crystalline ScSn2P2Pd7 at its relaxed geometry (PBE, Alexandria).

```
data_ScSn2P2Pd7
_chemical_formula_sum 'Sc2 Sn4 P4 Pd14'
_symmetry_space_group_name_H-M 'C 1 2/m 1'
_symmetry_Int_Tables_number 12
_cell_length_a 5.7185
_cell_length_b 5.7250
_cell_length_c 13.1838
_cell_angle_alpha 90.00
_cell_angle_beta 99.93
_cell_angle_gamma 90.00
loop_
_symmetry_equiv_pos_as_xyz
'x,y,z'
'-x,-y,-z'
'-x,y,-z'
'x,-y,z'
'x+1/2,y+1/2,z'
'-x+1/2,-y+1/2,-z'
'-x+1/2,y+1/2,-z'
'x+1/2,-y+1/2,z'
loop_
_atom_site_label
_atom_site_fract_x
_atom_site_fract_y
_atom_site_fract_z
Sc1 0.0000 0.0000 0.0000
Sn1 0.2422 0.5000 0.6290
P1 0.1094 0.5000 0.2531
Pd1 0.0000 0.5000 0.0000
Pd2 0.1923 0.2539 0.8449
Pd3 0.2064 0.0000 0.5733
```

Results
ΔE_f: -0.502 eV per atom
theoretical density: 8.5 g cm⁻³
spin magnetization: 0.0 μB per formula unit
calculated total energy: -5.627 eV/atom
DOS(E_F): 0.42 states/eV/atom

# SrScPPd2

Crystalline SrScPPd2 at its relaxed geometry (PBE, Alexandria).

```
data_SrScPPd2
_chemical_formula_sum 'Sr1 Sc1 P1 Pd2'
_symmetry_space_group_name_H-M 'P 4/m m m'
_symmetry_Int_Tables_number 123
_symmetry_space_group_name_Hall '-P 4 2'
_cell_length_a 4.9038
_cell_length_b 4.9038
_cell_length_c 6.0303
_cell_angle_alpha 90.00
_cell_angle_beta 90.00
_cell_angle_gamma 90.00
loop_
_atom_site_label
_atom_site_fract_x
_atom_site_fract_y
_atom_site_fract_z
Sr1 0.0000 0.0000 0.0000
Sc1 0.0000 0.0000 0.5000
P1 0.5000 0.5000 0.5000
Pd1 0.0000 0.5000 0.0000
```

Results
ΔE_f: 1.213 eV per atom
theoretical density: 4.3 g cm⁻³
spin magnetization: 0.0 μB per formula unit
calculated total energy: -3.548 eV/atom
DOS(E_F): 0.46 states/eV/atom

# PPdSe3

Crystalline PPdSe3 at its relaxed geometry (PBE, Alexandria).

```
data_PPdSe3
_chemical_formula_sum 'P1 Pd1 Se3'
_symmetry_space_group_name_H-M 'P m -3 m'
_symmetry_Int_Tables_number 221
_symmetry_space_group_name_Hall '-P 4 2 3'
_cell_length_a 4.8896
_cell_length_b 4.8896
_cell_length_c 4.8896
_cell_angle_alpha 90.00
_cell_angle_beta 90.00
_cell_angle_gamma 90.00
loop_
_atom_site_label
_atom_site_fract_x
_atom_site_fract_y
_atom_site_fract_z
P1 0.0000 0.0000 0.0000
Pd1 0.5000 0.5000 0.5000
Se1 0.0000 0.5000 0.5000
```

Results
theoretical density: 5.3 g cm⁻³
raw formation energy: 0.789 eV/atom
spin magnetization: 0.0 μB per formula unit
calculated total energy: -3.422 eV/atom
DOS(E_F): 1.10 states/eV/atom
energy above the most stable polymorph in this dataset: 134 meV per atom